Entry 1:
# Pr2Ho5Tm5, relaxed, DFT PBE
data_Pr2Ho5Tm5
_chemical_formula_sum 'Pr2 Ho5 Tm5'
_cell_length_a 5.005
_cell_length_b 7.922
_cell_length_c 10.621
_cell_angle_alpha 72.60
_cell_angle_beta 76.37
_cell_angle_gamma 71.58
_space_group_name_H-M_alt 'P 1'
_space_group_IT_number 1
loop_
_space_group_symop_operation_xyz
'x,y,z'
loop_
_atom_site_label
_atom_site_type_symbol
_atom_site_fract_x
_atom_site_fract_y
_atom_site_fract_z
Pr1 Pr 0.917 0.417 0.749
Pr2 Pr 0.083 0.583 0.251
Ho1 Ho 0.500 0.500 0.500
Ho2 Ho 0.334 0.332 0.000
Ho3 Ho 0.415 0.920 0.250
Ho4 Ho 0.585 0.080 0.750
Ho5 Ho 0.666 0.668 0.000
Tm1 Tm 0.832 0.836 0.500
Tm2 Tm 0.248 0.753 0.750
Tm3 Tm 0.752 0.247 0.250
Tm4 Tm 0.168 0.164 0.500
Tm5 Tm 0.000 0.000 0.000
# Total magnetic moment in μB/f.u.: 0.0
# E_form in kcal/mol of atoms: 0.61

Entry 2:
# Pr6Ho4Tm, relaxed, DFT PBE
data_Pr6Ho4Tm
_chemical_formula_sum 'Pr6 Ho4 Tm1'
_cell_length_a 9.975
_cell_length_b 9.975
_cell_length_c 9.975
_cell_angle_alpha 55.81
_cell_angle_beta 141.35
_cell_angle_gamma 141.35
_space_group_name_H-M_alt 'P 1'
_space_group_IT_number 1
loop_
_space_group_symop_operation_xyz
'x,y,z'
loop_
_atom_site_label
_atom_site_type_symbol
_atom_site_fract_x
_atom_site_fract_y
_atom_site_fract_z
Pr1 Pr 0.000 0.816 0.458
Pr2 Pr 0.000 0.458 0.816
Pr3 Pr 0.358 0.542 0.542
Pr4 Pr 0.500 0.500 0.000
Pr5 Pr 0.642 0.184 0.184
Pr6 Pr 0.500 0.000 0.500
Ho1 Ho 0.000 0.643 0.010
Ho2 Ho 0.368 0.357 0.357
Ho3 Ho 0.000 0.010 0.643
Ho4 Ho 0.632 0.990 0.990
Tm1 Tm 0.000 0.000 0.000
# Total magnetic moment in μB/f.u.: 0.0
# E_form in kcal/mol of atoms: 6.48

Entry 3:
# Pr6Ho8Tm, relaxed, DFT PBE
data_Pr6Ho8Tm
_chemical_formula_sum 'Pr6 Ho8 Tm1'
_cell_length_a 9.117
_cell_length_b 9.117
_cell_length_c 8.748
_cell_angle_alpha 58.60
_cell_angle_beta 58.60
_cell_angle_gamma 60.00
_space_group_name_H-M_alt 'P 1'
_space_group_IT_number 1
loop_
_space_group_symop_operation_xyz
'x,y,z'
loop_
_atom_site_label
_atom_site_type_symbol
_atom_site_fract_x
_atom_site_fract_y
_atom_site_fract_z
Pr1 Pr 0.462 0.900 0.867
Pr2 Pr 0.100 0.229 0.133
Pr3 Pr 0.229 0.538 0.133
Pr4 Pr 0.771 0.462 0.867
Pr5 Pr 0.900 0.771 0.867
Pr6 Pr 0.538 0.100 0.133
Ho1 Ho 0.716 0.112 0.420
Ho2 Ho 0.888 0.248 0.580
Ho3 Ho 0.248 0.284 0.580
Ho4 Ho 0.577 0.577 0.269
Ho5 Ho 0.423 0.423 0.731
Ho6 Ho 0.752 0.716 0.420
Ho7 Ho 0.112 0.752 0.420
Ho8 Ho 0.284 0.888 0.580
Tm1 Tm 0.000 0.000 0.000
# Total magnetic moment in μB/f.u.: 0.0
# E_form in kcal/mol of atoms: 2.71